# 1
Below is crystalline Nd2YPd at its relaxed geometry, with properties calculated at the PBE level.

Summary:
**Uncorrected energy**: -5.720 eV/atom
**Total moment**: 0.000 μB/f.u.
**ΔE to the lowest computed polymorph**: 0 meV/atom

Cell lengths 7.2006, 10.1315, 6.5248 Å; angles 90.00, 90.00, 90.00 degrees
Closest atoms and distances in Å follow each position.
Space group Pnma (No. 62)
Asymmetric unit:
1 Nd 0.1829 0.0606 0.1709  2 Pd 2.97-2.98
2 Y 0.0289 0.2500 0.6451  2 Pd 2.90
3 Pd 0.1149 0.7500 0.9391  2 Y 2.90, 4 Nd 2.97-2.98



# 2
Below is crystalline TbHoTh at its relaxed geometry, with properties calculated at the PBE level.

Summary:
**Uncorrected energy**: -5.521 eV/atom
**Total moment**: 0.000 μB/f.u.
**ΔE to the lowest computed polymorph**: 3 meV/atom

Cell lengths 3.5683, 3.5683, 8.6606 Å; angles 90.00, 90.00, 120.00 degrees
Closest atoms and distances in Å follow each position.
Space group P3m1 (No. 156)
Asymmetric unit:
1 Tb 0.0000 0.0000 0.0000  3 Th 3.51, 6 Tb 3.57, 3 Ho 3.63
2 Ho 0.6667 0.3333 0.3456  3 Th 3.49, 6 Ho 3.57, 3 Tb 3.63
3 Th 0.3333 0.6667 0.6714  3 Ho 3.49, 3 Tb 3.51, 6 Th 3.57



# 3
Below is crystalline ZnFeH3 at its relaxed geometry, with properties calculated at the PBE level.

Summary:
**Uncorrected energy**: -3.772 eV/atom
**Total moment**: 0.000 μB/f.u.
**ΔE to the lowest computed polymorph**: 55 meV/atom

Cell lengths 3.2353, 3.2353, 3.2353 Å; angles 90.00, 90.00, 90.00 degrees
Closest atoms and distances in Å follow each position.
Space group Pm-3m (No. 221)
Asymmetric unit:
1 Zn 0.0000 0.0000 0.0000  12 H 2.29
2 Fe 0.5000 0.5000 0.5000  6 H 1.62
3 H 0.0000 0.5000 0.5000  2 Fe 1.62



# 4
Below is crystalline MgCo2Ni at its relaxed geometry, with properties calculated at the PBE level.

Summary:
**Uncorrected energy**: -5.301 eV/atom
**Total moment**: 3.473 μB/f.u.

Cell lengths 3.3484, 3.7003, 3.9708 Å; angles 90.00, 90.00, 90.00 degrees
Closest atoms and distances in Å follow each position.
Space group Pmmm (No. 47)
Asymmetric unit:
1 Mg 0.0000 0.0000 0.0000  4 Ni 2.50, 8 Co 2.60-2.71
2 Co 0.0000 0.5000 0.5000  4 Co 2.50, 4 Ni 2.60, 4 Mg 2.71
3 Co 0.5000 0.0000 0.5000  4 Co 2.50, 4 Mg 2.60, 4 Ni 2.71
4 Ni 0.5000 0.5000 0.0000  4 Mg 2.50, 8 Co 2.60-2.71